A relaxed structure of ZrNi2Hg. Source: Alexandria, functional PBEsol.

abc: 3.833 3.831 4.951
angles: 112.76 112.77 90.00
Fractional coordinates of all 4 atoms:
Hg: 0.250 0.750 0.500
Ni: 0.000 0.000 0.000
Ni: 0.750 0.250 0.500
Zr: 0.500 0.500 0.000

Calculated values
- DFT formation energy: -0.19 eV/atom
- Symmetry: I-4m2, No. 119
- Electronic total energy: -0.4179 Ry/atom

***

A relaxed structure of CuAsSe3. Source: Alexandria, functional PBEsol.

abc: 4.663 4.663 4.663
angles: 90.00 90.00 90.00
Fractional coordinates of all 5 atoms:
As: 0.500 0.500 0.500
Cu: 0.000 0.000 0.000
Se: 0.000 0.500 0.000
Se: 0.000 0.000 0.500
Se: 0.500 0.000 0.000

Calculated values
- Symmetry: Pm-3m, No. 221
- Raw formation energy: 0.52 eV per atom
- Electronic total energy: -0.2704 Ry/atom

***

A relaxed structure of Zn3InAgS5. Source: Alexandria, functional PBEsol.

abc: 6.383 6.725 10.290
angles: 71.00 90.01 89.96
Fractional coordinates of all 20 atoms:
Zn: 0.494 0.881 0.590
Zn: 0.501 0.462 0.403
Zn: 0.506 0.065 0.209
Zn: 0.999 0.324 0.005
Zn: 0.000 0.936 0.791
Zn: 0.000 0.133 0.405
In: 0.499 0.262 0.801
In: 0.999 0.732 0.197
Ag: 0.495 0.668 0.998
Ag: 0.997 0.540 0.602
S: 0.107 0.662 0.986
S: 0.113 0.251 0.813
S: 0.134 0.888 0.596
S: 0.136 0.455 0.398
S: 0.135 0.076 0.205
S: 0.612 0.734 0.212
S: 0.636 0.312 0.013
S: 0.637 0.929 0.785
S: 0.607 0.549 0.593
S: 0.633 0.141 0.399

Calculated values
- Symmetry: P1, No. 1
- Raw formation energy: -0.64 eV per atom
- Electronic total energy: -0.2895 Ry/atom

***

A relaxed structure of Rb2SbH. Source: Alexandria, functional PBEsol.

abc: 7.244 7.244 7.244
angles: 112.30 108.08 108.08
Last column: magnetic moment on the atom in μB.
Fractional coordinates of all 8 atoms:
Sb: 0.000 0.000 0.000  0.63
Sb: 0.500 0.750 0.250  0.63
Rb: 0.911 0.536 0.125  0.02
Rb: 0.089 0.214 0.625  0.02
Rb: 0.589 0.375 0.464  0.02
Rb: 0.411 0.875 0.786  0.02
H: 0.000 0.500 0.500  0.05
H: 0.500 0.250 0.750  0.05

Calculated values
- Symmetry: I-42d, No. 122
- Electronic total energy: -0.1699 Ry/atom

***

A relaxed structure of ReP. Source: Alexandria, functional PBEsol.

abc: 3.757 3.757 4.500
angles: 90.00 90.00 120.00
Fractional coordinates of all 4 atoms:
P: 0.000 0.000 0.000
P: 0.000 0.000 0.500
Re: 0.667 0.333 0.750
Re: 0.333 0.667 0.250

Calculated values
- DFT formation energy: 0.24 eV/atom
- Symmetry: P6_3/mmc, No. 194
- E above lowest polymorph: 0.597 eV/atom
- Electronic total energy: -0.6855 Ry/atom

***

A relaxed structure of TaMn2Cu. Source: Alexandria, functional PBEsol.

abc: 3.650 3.650 4.688
angles: 112.91 112.91 90.00
Last column: magnetic moment on the atom in μB.
Fractional coordinates of all 4 atoms:
Cu: 0.250 0.750 0.500  0.05
Mn: 0.500 0.500 0.000  2.14
Mn: 0.750 0.250 0.500  2.54
Ta: 0.000 0.000 0.000  -0.37

Calculated values
- DFT formation energy: 0.14 eV/atom
- Symmetry: I-4m2, No. 119
- Electronic total energy: -0.6584 Ry/atom

***

A relaxed structure of AsP2RhO. Source: Alexandria, functional PBEsol.

abc: 3.638 4.694 4.694
angles: 90.00 90.00 90.00
Fractional coordinates of all 5 atoms:
P: 0.000 0.000 0.500
P: 0.000 0.500 0.000
As: 0.500 0.500 0.500
Rh: 0.000 0.000 0.000
O: 0.500 0.000 0.000

Calculated values
- Symmetry: P4/mmm, No. 123
- Raw formation energy: 0.24 eV per atom
- Electronic total energy: -0.4245 Ry/atom

***

A relaxed structure of MnNiIr2. Source: Alexandria, functional PBEsol.

abc: 2.635 3.557 5.299
angles: 90.00 90.00 90.00
Last column: magnetic moment on the atom in μB.
Fractional coordinates of all 4 atoms:
Ni: 0.500 0.500 0.500  -0.19
Ir: 0.000 0.000 0.749  -0.14
Ir: 0.000 0.000 0.251  -0.14
Mn: 0.500 0.500 0.000  1.62

Calculated values
- DFT formation energy: -0.07 eV/atom
- Symmetry: Pmmm, No. 47
- Electronic total energy: -0.6586 Ry/atom

***

A relaxed structure of AgAu3. Source: Alexandria, functional PBEsol.

abc: 4.745 4.975 5.697
angles: 90.00 90.00 90.00
Fractional coordinates of all 8 atoms:
Au: 0.500 0.334 0.000
Au: 0.000 0.166 0.750
Au: 0.500 0.834 0.750
Au: 0.000 0.666 0.500
Au: 0.000 0.166 0.250
Au: 0.500 0.834 0.250
Ag: 0.000 0.664 0.000
Ag: 0.500 0.336 0.500

Calculated values
- DFT formation energy: -0.03 eV/atom
- Symmetry: Pmmn, No. 59
- E above lowest polymorph: 0.013 eV/atom
- Electronic total energy: -0.2796 Ry/atom

***

A relaxed structure of ZrSi2Ag. Source: Alexandria, functional PBEsol.

abc: 2.816 2.816 8.394
angles: 90.00 90.00 90.00
Fractional coordinates of all 4 atoms:
Ag: 0.500 0.500 0.500
Si: 0.000 0.000 0.754
Si: 0.000 0.000 0.246
Zr: 0.500 0.500 0.000

Calculated values
- Symmetry: P4/mmm, No. 123
- Raw formation energy: -0.05 eV per atom
- Electronic total energy: -0.4430 Ry/atom

***

A relaxed structure of FeSbAs. Source: Alexandria, functional PBEsol.

abc: 3.001 5.488 6.176
angles: 90.00 90.00 90.00
Fractional coordinates of all 6 atoms:
Sb: 0.000 0.070 0.057
Sb: 0.500 0.930 0.557
As: 0.000 0.442 0.344
As: 0.500 0.558 0.844
Fe: 0.000 0.273 0.692
Fe: 0.500 0.727 0.192

Calculated values
- Symmetry: Pmn2_1, No. 31
- Raw formation energy: -0.19 eV per atom
- E above lowest polymorph: 0.000 eV/atom
- Electronic total energy: -0.4702 Ry/atom

***

A relaxed structure of LaNi. Source: Alexandria, functional PBEsol.

abc: 6.679 8.329 9.313
angles: 90.00 90.00 90.00
Fractional coordinates of all 24 atoms:
La: 0.750 0.866 0.229
La: 0.250 0.134 0.771
La: 0.750 0.366 0.771
La: 0.250 0.634 0.229
La: 0.750 0.487 0.390
La: 0.250 0.513 0.610
La: 0.750 0.987 0.610
La: 0.250 0.013 0.390
La: 0.000 0.250 0.103
La: 0.500 0.750 0.897
La: 0.000 0.750 0.897
La: 0.500 0.250 0.103
Ni: 0.750 0.556 0.084
Ni: 0.250 0.444 0.916
Ni: 0.750 0.056 0.916
Ni: 0.250 0.944 0.084
Ni: 0.750 0.148 0.340
Ni: 0.250 0.852 0.660
Ni: 0.750 0.648 0.660
Ni: 0.250 0.352 0.340
Ni: 0.000 0.250 0.510
Ni: 0.500 0.750 0.490
Ni: 0.000 0.750 0.490
Ni: 0.500 0.250 0.510

Calculated values
- DFT formation energy: -0.20 eV/atom
- Symmetry: Pbcm, No. 57
- Electronic total energy: -0.4373 Ry/atom